# RbSrBF6 | Alexandria | GGA-PBE | relaxed
# - ΔE_f (raw): -2.863 eV per atom
# - E: -5.147 eV/atom
# - Crystal system: trigonal
# - D(E_F): 0.00 states/eV per cell
data_RbSrBF6
_chemical_formula_sum 'Rb1 Sr1 B1 F6'
_space_group_name_H-M_alt 'P 3 1 2'
_space_group_IT_number 149
_cell_length_a 5.6469
_cell_length_b 5.6469
_cell_length_c 5.6451
_cell_angle_alpha 90.00
_cell_angle_beta 90.00
_cell_angle_gamma 120.00
loop_
_space_group_symop_operation_xyz
'x,y,z'
'-y,x-y,z'
'-x+y,-x,z'
'-y,-x,-z'
'-x+y,y,-z'
'x,x-y,-z'
loop_
_atom_site_label
_atom_site_fract_x
_atom_site_fract_y
_atom_site_fract_z
Rb1 0.0000 0.0000 0.0000
Sr1 0.3333 0.6667 0.5000
B1 0.6667 0.3333 0.5000
F1 0.4279 0.0956 0.6705

=====

# Ca2HgPt | Alexandria | GGA-PBE | relaxed
# - E: -3.184 eV/atom
# - Crystal system: monoclinic
# - ΔH_f (0 K): -0.598 eV/atom
# - D(E_F): 7.05 states/eV per cell
data_Ca2HgPt
_chemical_formula_sum 'Ca4 Hg2 Pt2'
_space_group_name_H-M_alt 'C 1 2/m 1'
_space_group_IT_number 12
_cell_length_a 7.165
_cell_length_b 4.123
_cell_length_c 8.049
_cell_angle_alpha 90.00
_cell_angle_beta 107.06
_cell_angle_gamma 90.00
loop_
_space_group_symop_operation_xyz
'x,y,z'
'-x,-y,-z'
'-x,y,-z'
'x,-y,z'
'x+1/2,y+1/2,z'
'-x+1/2,-y+1/2,-z'
'-x+1/2,y+1/2,-z'
'x+1/2,-y+1/2,z'
loop_
_atom_site_label
_atom_site_fract_x
_atom_site_fract_y
_atom_site_fract_z
Ca1 0.235 0.000 0.207
Hg1 0.000 0.000 0.500
Pt1 0.000 0.500 0.000

=====

# PuB6Ir12 | Alexandria | GGA-PBE | relaxed
# - E: -8.679 eV/atom
# - Crystal system: trigonal
# - ΔH_f (0 K): -0.219 eV/atom
# - D(E_F): 65.10 states/eV per cell
data_PuB6Ir12
_chemical_formula_sum 'Pu3 B18 Ir36'
_space_group_name_H-M_alt 'R -3 m'
_space_group_IT_number 166
_space_group_name_Hall '-R 3 2"'
_cell_length_a 10.3331
_cell_length_b 10.3331
_cell_length_c 8.1237
_cell_angle_alpha 90.00
_cell_angle_beta 90.00
_cell_angle_gamma 120.00
loop_
_atom_site_label
_atom_site_fract_x
_atom_site_fract_y
_atom_site_fract_z
Pu1 0.0000 0.0000 0.0000
B1 0.0425 0.5213 0.2923
Ir1 0.0000 0.3643 0.5000
Ir2 0.0865 0.1729 0.3574

=====

# EuBi2Pd | Alexandria | GGA-PBE | relaxed
# - E: -6.253 eV/atom
# - Crystal system: tetragonal
# - ΔH_f (0 K): -0.446 eV/atom
# - D(E_F): 3.52 states/eV per cell
data_EuBi2Pd
_chemical_formula_sum 'Eu1 Bi2 Pd1'
_space_group_name_H-M_alt 'P 4/m m m'
_space_group_IT_number 123
_space_group_name_Hall '-P 4 2'
_cell_length_a 4.831
_cell_length_b 4.831
_cell_length_c 4.497
_cell_angle_alpha 90.00
_cell_angle_beta 90.00
_cell_angle_gamma 90.00
loop_
_atom_site_label
_atom_site_fract_x
_atom_site_fract_y
_atom_site_fract_z
Eu1 0.000 0.000 0.000
Bi1 0.000 0.500 0.500
Pd1 0.500 0.500 0.000

=====

# Rb4Np3FeSe8 | Alexandria | GGA-PBE | relaxed
# - ΔE_f (raw): -1.050 eV per atom
# - E: -5.990 eV/atom
# - Crystal system: trigonal
# - D(E_F): 92.78 states/eV per cell
data_Rb4Np3FeSe8
_chemical_formula_sum 'Rb12 Np9 Fe3 Se24'
_space_group_name_H-M_alt 'R -3 m'
_space_group_IT_number 166
_space_group_name_Hall '-R 3 2"'
_cell_length_a 8.4098
_cell_length_b 8.4098
_cell_length_c 23.9460
_cell_angle_alpha 90.00
_cell_angle_beta 90.00
_cell_angle_gamma 120.00
loop_
_atom_site_label
_atom_site_fract_x
_atom_site_fract_y
_atom_site_fract_z
Rb1 0.0000 0.0000 0.0000
Rb2 0.0000 0.5000 0.0000
Np1 0.0000 0.5000 0.5000
Fe1 0.0000 0.0000 0.5000
Se1 0.0000 0.0000 0.2325
Se2 0.0103 0.5051 0.2296

=====

# Er2Cd2BRh4 | Alexandria | GGA-PBE | relaxed
# - E: -5.726 eV/atom
# - Crystal system: tetragonal
# - ΔH_f (0 K): -0.499 eV/atom
# - D(E_F): 8.66 states/eV per cell
data_Er2Cd2BRh4
_chemical_formula_sum 'Er4 Cd4 B2 Rh8'
_space_group_name_H-M_alt 'I 4/m m m'
_space_group_IT_number 139
_space_group_name_Hall '-I 4 2'
_cell_length_a 6.092
_cell_length_b 6.092
_cell_length_c 8.378
_cell_angle_alpha 90.00
_cell_angle_beta 90.00
_cell_angle_gamma 90.00
loop_
_atom_site_label
_atom_site_fract_x
_atom_site_fract_y
_atom_site_fract_z
Er1 0.000 0.000 0.205
Cd1 0.000 0.500 0.250
B1 0.000 0.000 0.500
Rh1 0.240 0.240 0.500

=====

# La2Sc2Al | Alexandria | GGA-PBE | relaxed
# - E: -4.713 eV/atom
# - Crystal system: tetragonal
# - ΔH_f (0 K): 0.539 eV/atom
# - D(E_F): 17.96 states/eV per cell
data_La2Sc2Al
_chemical_formula_sum 'La4 Sc4 Al2'
_space_group_name_H-M_alt 'I 4/m m m'
_space_group_IT_number 139
_space_group_name_Hall '-I 4 2'
_cell_length_a 4.155
_cell_length_b 4.155
_cell_length_c 16.636
_cell_angle_alpha 90.00
_cell_angle_beta 90.00
_cell_angle_gamma 90.00
loop_
_atom_site_label
_atom_site_fract_x
_atom_site_fract_y
_atom_site_fract_z
La1 0.000 0.500 0.250
Sc1 0.000 0.000 0.079
Al1 0.000 0.000 0.500

=====

# Ac2Zn3PdAu12 | Alexandria | GGA-PBE | relaxed
# - E: -3.268 eV/atom
# - Crystal system: trigonal
# - ΔH_f (0 K): -0.126 eV/atom
# - D(E_F): 21.69 states/eV per cell
data_Ac2Zn3PdAu12
_chemical_formula_sum 'Ac6 Zn9 Pd3 Au36'
_space_group_name_H-M_alt 'R -3 m'
_space_group_IT_number 166
_space_group_name_Hall '-R 3 2"'
_cell_length_a 8.5187
_cell_length_b 8.5187
_cell_length_c 20.8949
_cell_angle_alpha 90.00
_cell_angle_beta 90.00
_cell_angle_gamma 120.00
loop_
_atom_site_label
_atom_site_fract_x
_atom_site_fract_y
_atom_site_fract_z
Ac1 0.0000 0.0000 0.1251
Zn1 0.0000 0.5000 0.0000
Pd1 0.0000 0.0000 0.5000
Au1 0.0010 0.5005 0.8779
Au2 0.0042 0.5021 0.3700